1.
Tb3Ho4Tm: relaxed, PBE-GGA.

Results
- offset from the most stable computed form (meV per atom) = 0
- ΔE_f (meV per atom) = 5
- SG = No. 31

a b c (Å): 6.2424 7.2222 11.1705
angles (deg): 90.00 90.00 90.00
With the nearest neighbours (Å) after each atom.
Element x y z (fractional)
Tb (0.9809, 0.6252, 0.2501)  2 Tm 3.48-3.49, 4 Tb 3.48-3.61, 6 Ho 3.49-3.62
Tb (0.4809, 0.3748, 0.2499)  2 Tm 3.48-3.49, 4 Tb 3.48-3.61, 6 Ho 3.49-3.62
Tb (0.1476, 0.3744, 0.5000)  4 Tb 3.48-3.49, 6 Ho 3.49-3.62, 2 Tm 3.61
Tb (0.4809, 0.3748, 0.7501)  2 Tm 3.48-3.49, 4 Tb 3.48-3.61, 6 Ho 3.49-3.62
Tb (0.9809, 0.6252, 0.7499)  2 Tm 3.48-3.49, 4 Tb 3.48-3.61, 6 Ho 3.49-3.62
Tb (0.6476, 0.6256, 0.0000)  4 Tb 3.48-3.49, 6 Ho 3.49-3.62, 2 Tm 3.61
Ho (0.6489, 0.1247, 0.5000)  6 Ho 3.47-3.61, 4 Tb 3.49-3.61, 2 Tm 3.60-3.62
Ho (0.4812, 0.8754, 0.2511)  1 Tm 3.47, 6 Ho 3.47-3.60, 5 Tb 3.49-3.62
Ho (0.6473, 0.1240, 0.0000)  6 Ho 3.47-3.61, 4 Tb 3.49-3.62, 2 Tm 3.61
Ho (0.9812, 0.1246, 0.7511)  1 Tm 3.47, 6 Ho 3.47-3.60, 5 Tb 3.49-3.62
Ho (0.1473, 0.8760, 0.5000)  6 Ho 3.47-3.61, 4 Tb 3.49-3.62, 2 Tm 3.61
Ho (0.9812, 0.1246, 0.2489)  1 Tm 3.47, 6 Ho 3.47-3.60, 5 Tb 3.49-3.62
Ho (0.1489, 0.8753, 0.0000)  6 Ho 3.47-3.61, 4 Tb 3.49-3.61, 2 Tm 3.60-3.62
Ho (0.4812, 0.8754, 0.7489)  1 Tm 3.47, 6 Ho 3.47-3.60, 5 Tb 3.49-3.62
Tm (0.1473, 0.3742, 0.0000)  6 Ho 3.47-3.62, 6 Tb 3.48-3.61
Tm (0.6473, 0.6258, 0.5000)  6 Ho 3.47-3.62, 6 Tb 3.48-3.61


2.
Ac3Bi2Se: relaxed, PBE-GGA.

Results
- formation energy without anion corrections (eV per atom) = -1.283
- SG = No. 12

a b c (Å): 4.7566 6.7471 8.2056
angles (deg): 114.22 106.85 90.00
With the nearest neighbours (Å) after each atom.
Element x y z (fractional)
Bi (0.8301, 0.3300, 0.6601)  6 Ac 3.38-3.40
Bi (0.1699, 0.6700, 0.3399)  6 Ac 3.38-3.40
Ac (0.5000, 0.5000, 0.0000)  2 Se 3.37, 4 Bi 3.39
Ac (0.8414, 0.8413, 0.6829)  2 Se 3.27, 4 Bi 3.38-3.40
Ac (0.1586, 0.1587, 0.3171)  2 Se 3.27, 4 Bi 3.38-3.40
Se (0.5000, 0.0000, 0.0000)  6 Ac 3.27-3.37


3.
MgTcCl: relaxed, PBE-GGA.

Results
- offset from the most stable computed form (meV per atom) = 711
- formation energy without anion corrections (eV per atom) = 0.798
- SG = No. 216

a b c (Å): 4.2818 4.2818 4.2818
angles (deg): 60.00 60.00 60.00
With the nearest neighbours (Å) after each atom.
Element x y z (fractional)
Mg (0.0000, 0.0000, 0.0000)  4 Cl 2.62
Cl (0.7500, 0.7500, 0.7500)  4 Mg 2.62, 4 Tc 2.62
Tc (0.5000, 0.5000, 0.5000)  4 Cl 2.62


4.
TaCr2C: relaxed, PBE-GGA.

Results
- ΔE_f (meV per atom) = -189
- SG = No. 63

a b c (Å): 3.0034 4.6517 6.7484
angles (deg): 90.00 90.00 108.84
With the nearest neighbours (Å) after each atom.
Element x y z (fractional)
C (0.2378, 0.4756, 0.2500)  6 Cr 2.11-2.28
C (0.7622, 0.5244, 0.7500)  6 Cr 2.11-2.28
Cr (0.6558, 0.3112, 0.0578)  3 C 2.11-2.28
Cr (0.6558, 0.3112, 0.4422)  3 C 2.11-2.28
Cr (0.3442, 0.6888, 0.9422)  3 C 2.11-2.28
Cr (0.3442, 0.6888, 0.5578)  3 C 2.11-2.28
Ta (0.9471, 0.8944, 0.2500)  3 C 2.38-2.56
Ta (0.0529, 0.1056, 0.7500)  3 C 2.38-2.56


5.
LiTcPdF6: relaxed, PBE-GGA.

Results
- formation energy without anion corrections (eV per atom) = -1.925
- SG = No. 163

a b c (Å): 5.3467 5.3467 9.9425
angles (deg): 90.00 90.00 120.00
With the nearest neighbours (Å) after each atom.
Element x y z (fractional)
F (0.3527, 0.3655, 0.8590)  1 Tc 1.99, 1 Li 2.08
F (0.6345, 0.6473, 0.6410)  1 Tc 1.99, 1 Li 2.08
F (0.6473, 0.6345, 0.1410)  1 Tc 1.99, 1 Li 2.08
F (0.9872, 0.3527, 0.1410)  1 Tc 1.99, 1 Li 2.08
F (0.0128, 0.6473, 0.8590)  1 Tc 1.99, 1 Li 2.08
F (0.3527, 0.9872, 0.6410)  1 Tc 1.99, 1 Li 2.08
F (0.9872, 0.6345, 0.3590)  1 Tc 1.99, 1 Li 2.08
F (0.6473, 0.0128, 0.3590)  1 Tc 1.99, 1 Li 2.08
F (0.6345, 0.9872, 0.8590)  1 Tc 1.99, 1 Li 2.08
F (0.0128, 0.3655, 0.6410)  1 Tc 1.99, 1 Li 2.08
F (0.3655, 0.0128, 0.1410)  1 Tc 1.99, 1 Li 2.08
F (0.3655, 0.3527, 0.3590)  1 Tc 1.99, 1 Li 2.08
Tc (0.6667, 0.3333, 0.2500)  6 F 1.99
Tc (0.3333, 0.6667, 0.7500)  6 F 1.99
Li (0.3333, 0.6667, 0.2500)  6 F 2.08
Li (0.6667, 0.3333, 0.7500)  6 F 2.08
Pd (0.0000, 0.0000, 0.0000)  6 F 2.38
Pd (0.0000, 0.0000, 0.5000)  6 F 2.38


6.
Li2InHgO: relaxed, PBE-GGA.

Results
- formation energy without anion corrections (eV per atom) = -0.844
- SG = No. 123

a b c (Å): 4.1455 4.1455 4.8348
angles (deg): 90.00 90.00 90.00
With the nearest neighbours (Å) after each atom.
Element x y z (fractional)
O (0.0000, 0.0000, 0.0000)  4 Li 2.07
Li (0.5000, 0.0000, 0.0000)  2 O 2.07
Li (0.0000, 0.5000, 0.0000)  2 O 2.07
In (0.0000, 0.0000, 0.5000)  2 O 2.42
Hg (0.5000, 0.5000, 0.5000)  4 In 2.93, 8 Li 3.18


7.
SiIrSe2: relaxed, PBE-GGA.

Results
- formation energy without anion corrections (eV per atom) = -0.083
- SG = No. 160

a b c (Å): 8.0860 8.0860 8.0860
angles (deg): 24.63 24.63 24.63
With the nearest neighbours (Å) after each atom.
Element x y z (fractional)
Se (0.0275, 0.0275, 0.0275)  3 Ir 2.41
Se (0.2252, 0.2252, 0.2252)  3 Si 2.48
Si (0.4955, 0.4955, 0.4955)  3 Se 2.48, 3 Ir 2.69
Ir (0.7518, 0.7518, 0.7518)  3 Se 2.41, 3 Si 2.69


8.
As2PdBr2: relaxed, PBE-GGA.

Results
- offset from the most stable computed form (meV per atom) = 0
- formation energy without anion corrections (eV per atom) = 0.244
- SG = No. 127

a b c (Å): 7.0871 7.0871 5.4213
angles (deg): 90.00 90.00 90.00
With the nearest neighbours (Å) after each atom.
Element x y z (fractional)
Br (0.1737, 0.6737, 0.0000)  2 Pd 2.62, 2 As 2.77
Br (0.8263, 0.3263, 0.0000)  2 Pd 2.62, 2 As 2.77
Br (0.3263, 0.1737, 0.0000)  2 Pd 2.62, 2 As 2.77
Br (0.6737, 0.8263, 0.0000)  2 Pd 2.62, 2 As 2.77
As (0.3841, 0.1159, 0.5000)  1 As 2.32
As (0.8841, 0.3841, 0.5000)  1 As 2.32
As (0.6159, 0.8841, 0.5000)  1 As 2.32
As (0.1159, 0.6159, 0.5000)  1 As 2.32
Pd (0.0000, 0.0000, 0.0000)  4 Br 2.62
Pd (0.5000, 0.5000, 0.0000)  4 Br 2.62


9.
InAgAs2: relaxed, PBE-GGA.

Results
- ΔE_f (meV per atom) = 322
- SG = No. 216

a b c (Å): 4.9126 4.9126 4.9126
angles (deg): 60.00 60.00 60.00
With the nearest neighbours (Å) after each atom.
Element x y z (fractional)
As (0.2500, 0.2500, 0.2500)  4 As 3.01, 4 Ag 3.01
As (0.0000, 0.0000, 0.0000)  4 In 3.01, 4 As 3.01
Ag (0.5000, 0.5000, 0.5000)  4 In 3.01, 4 As 3.01
In (0.7500, 0.7500, 0.7500)  4 As 3.01, 4 Ag 3.01


10.
Ac2Ga6PdRh: relaxed, PBE-GGA.

Results
- ΔE_f (meV per atom) = -428
- SG = No. 71

a b c (Å): 6.9004 6.9017 6.9226
angles (deg): 59.87 59.88 90.00
With the nearest neighbours (Å) after each atom.
Element x y z (fractional)
Ga (0.7492, 0.7492, 0.5021)  1 Rh 2.43, 1 Pd 2.45
Ga (0.2512, 0.7491, 0.0000)  1 Rh 2.43, 1 Pd 2.45
Ga (0.2508, 0.2508, 0.4979)  1 Rh 2.43, 1 Pd 2.45
Ga (0.7490, 0.7490, 0.9998)  1 Rh 2.43, 1 Pd 2.45
Ga (0.2510, 0.2510, 0.0002)  1 Rh 2.43, 1 Pd 2.45
Ga (0.7488, 0.2509, 0.0000)  1 Rh 2.43, 1 Pd 2.45
Rh (0.5000, 0.5000, 0.0000)  6 Ga 2.43
Pd (0.0000, 0.0000, 0.0000)  6 Ga 2.45
Ac (0.7501, 0.2501, 0.4998)  12 Ga 3.44-3.46
Ac (0.2499, 0.7499, 0.5002)  12 Ga 3.44-3.46


11.
TePb: relaxed, PBE-GGA.

Results
- formation energy without anion corrections (eV per atom) = -0.218
- SG = No. 216

a b c (Å): 7.3178 7.3178 7.3178
angles (deg): 90.00 90.00 90.00
With the nearest neighbours (Å) after each atom.
Element x y z (fractional)
Pb (0.0000, 0.0000, 0.0000)  4 Te 3.17
Pb (0.5000, 0.5000, 0.0000)  4 Te 3.17
Pb (0.5000, 0.0000, 0.5000)  4 Te 3.17
Pb (0.0000, 0.5000, 0.5000)  4 Te 3.17
Te (0.7500, 0.2500, 0.7500)  4 Pb 3.17
Te (0.2500, 0.7500, 0.7500)  4 Pb 3.17
Te (0.7500, 0.7500, 0.2500)  4 Pb 3.17
Te (0.2500, 0.2500, 0.2500)  4 Pb 3.17


12.
Mn2PPb: relaxed, PBE-GGA.

Results
- ΔE_f (meV per atom) = 355
- SG = No. 122

a b c (Å): 4.7223 4.7223 8.3696
angles (deg): 73.61 73.61 90.00
With the nearest neighbours (Å) after each atom.
Element x y z (fractional)
Pb (0.7500, 0.2500, 0.5000)  4 Mn 2.94
Pb (0.0000, 0.0000, 0.0000)  4 Mn 2.94
Mn (0.3750, 0.5257, 0.7500)  2 P 2.30, 2 Mn 2.54
Mn (0.8750, 0.7243, 0.7500)  2 P 2.30, 2 Mn 2.54
Mn (0.2757, 0.6250, 0.2500)  2 P 2.30, 2 Mn 2.54
Mn (0.4743, 0.1250, 0.2500)  2 P 2.30, 2 Mn 2.54
P (0.5000, 0.5000, 0.0000)  4 Mn 2.30
P (0.2500, 0.7500, 0.5000)  4 Mn 2.30


What did the tenth record say?
Ac2Ga6PdRh: relaxed, PBE-GGA.

Results
- ΔE_f (meV per atom) = -428
- SG = No. 71

a b c (Å): 6.9004 6.9017 6.9226
angles (deg): 59.87 59.88 90.00
With the nearest neighbours (Å) after each atom.
Element x y z (fractional)
Ga (0.7492, 0.7492, 0.5021)  1 Rh 2.43, 1 Pd 2.45
Ga (0.2512, 0.7491, 0.0000)  1 Rh 2.43, 1 Pd 2.45
Ga (0.2508, 0.2508, 0.4979)  1 Rh 2.43, 1 Pd 2.45
Ga (0.7490, 0.7490, 0.9998)  1 Rh 2.43, 1 Pd 2.45
Ga (0.2510, 0.2510, 0.0002)  1 Rh 2.43, 1 Pd 2.45
Ga (0.7488, 0.2509, 0.0000)  1 Rh 2.43, 1 Pd 2.45
Rh (0.5000, 0.5000, 0.0000)  6 Ga 2.43
Pd (0.0000, 0.0000, 0.0000)  6 Ga 2.45
Ac (0.7501, 0.2501, 0.4998)  12 Ga 3.44-3.46
Ac (0.2499, 0.7499, 0.5002)  12 Ga 3.44-3.46


Repeat the eleventh record exactly.
TePb: relaxed, PBE-GGA.

Results
- formation energy without anion corrections (eV per atom) = -0.218
- SG = No. 216

a b c (Å): 7.3178 7.3178 7.3178
angles (deg): 90.00 90.00 90.00
With the nearest neighbours (Å) after each atom.
Element x y z (fractional)
Pb (0.0000, 0.0000, 0.0000)  4 Te 3.17
Pb (0.5000, 0.5000, 0.0000)  4 Te 3.17
Pb (0.5000, 0.0000, 0.5000)  4 Te 3.17
Pb (0.0000, 0.5000, 0.5000)  4 Te 3.17
Te (0.7500, 0.2500, 0.7500)  4 Pb 3.17
Te (0.2500, 0.7500, 0.7500)  4 Pb 3.17
Te (0.7500, 0.7500, 0.2500)  4 Pb 3.17
Te (0.2500, 0.2500, 0.2500)  4 Pb 3.17